1.
DFT (PBE) results for a geometry-optimized ZrAu2Se structure.

As for the uncorrected formation energy: -0.445 eV/atom.

a = 3.7930 Å, b = 3.7930 Å, c = 21.7757 Å
α = 90.00°, β = 90.00°, γ = 120.00°
Space group R3m (No. 160, hexagonal axes)
Inequivalent atoms, fractional coordinates:
Zr 0.0000 0.0000 0.0000
Au 0.0000 0.0000 0.4906
Au 0.0000 0.0000 0.7445
Se 0.0000 0.0000 0.2571

=====

2.
DFT (PBE) results for a geometry-optimized Er12ThAl3 structure.

The value obtained for the formation energy is -1.9 eV per formula unit.

a = 4.770 Å, b = 4.770 Å, c = 19.294 Å
α = 90.00°, β = 90.00°, γ = 90.00°
Space group P4/mmm (No. 123)
Inequivalent atoms, fractional coordinates:
Er 0.000 0.000 0.000
Er 0.000 0.000 0.242
Er 0.000 0.000 0.500
Er 0.000 0.500 0.122
Er 0.000 0.500 0.366
Th 0.500 0.500 0.500
Al 0.500 0.500 0.000
Al 0.500 0.500 0.242

=====

3.
DFT (PBE) results for a geometry-optimized SmDy3Ru4 structure.

The value obtained for the formation energy is -2.2 eV per formula unit.

a = 4.823 Å, b = 4.823 Å, c = 6.847 Å
α = 90.00°, β = 90.00°, γ = 90.00°
Space group P4/mmm (No. 123)
Inequivalent atoms, fractional coordinates:
Sm 0.000 0.000 0.000
Dy 0.000 0.000 0.500
Dy 0.500 0.500 0.000
Dy 0.500 0.500 0.500
Ru 0.000 0.500 0.253

=====

4.
DFT (PBE) results for a geometry-optimized BaTcNi2I structure.

As for the uncorrected formation energy: 0.381 eV/atom.

a = 4.733 Å, b = 4.733 Å, c = 5.430 Å
α = 90.00°, β = 90.00°, γ = 90.00°
Space group P4/mmm (No. 123)
Inequivalent atoms, fractional coordinates:
Ba 0.000 0.000 0.000
Tc 0.500 0.500 0.500
Ni 0.000 0.500 0.500
I 0.500 0.500 0.000

=====

5.
DFT (PBE) results for a geometry-optimized PuUGeAu structure.

The value obtained for the formation energy is -0.8 eV per formula unit.

a = 7.179 Å, b = 7.179 Å, c = 7.179 Å
α = 90.00°, β = 90.00°, γ = 90.00°
Space group F-43m (No. 216)
Inequivalent atoms, fractional coordinates:
Pu 0.000 0.000 0.000
U 0.000 0.000 0.500
Ge 0.250 0.250 0.250
Au 0.250 0.250 0.750

=====

6.
DFT (PBE) results for a geometry-optimized SrIrIO2 structure.

As for the uncorrected formation energy: 0.461 eV/atom.

a = 4.284 Å, b = 4.284 Å, c = 7.116 Å
α = 90.00°, β = 90.00°, γ = 90.00°
Space group P4/mmm (No. 123)
Inequivalent atoms, fractional coordinates:
Sr 0.000 0.000 0.000
Ir 0.500 0.500 0.500
I 0.000 0.000 0.500
O 0.000 0.500 0.000

=====

7.
DFT (PBE) results for a geometry-optimized ReSN2O structure.

As for the uncorrected formation energy: 2.099 eV/atom.

a = 3.703 Å, b = 3.703 Å, c = 3.637 Å
α = 90.00°, β = 90.00°, γ = 90.00°
Space group P4/mmm (No. 123)
Inequivalent atoms, fractional coordinates:
Re 0.000 0.000 0.000
S 0.500 0.500 0.000
N 0.000 0.500 0.500
O 0.500 0.500 0.500

=====

8.
DFT (PBE) results for a geometry-optimized LaSn12Ir6 structure.

The value obtained for the formation energy is -2.8 eV per formula unit.

a = 12.8230 Å, b = 12.8230 Å, c = 8.9777 Å
α = 90.00°, β = 90.00°, γ = 120.00°
Space group R-3m (No. 166, hexagonal axes)
Inequivalent atoms, fractional coordinates:
La 0.0000 0.0000 0.0000
Sn 0.0000 0.3787 0.5000
Sn 0.0851 0.1702 0.3124
Ir 0.0509 0.5254 0.2480

=====

9.
DFT (PBE) results for a geometry-optimized LaCd2Fe structure.

The value obtained for the formation energy is 0.8 eV per formula unit.

a = 3.208 Å, b = 3.490 Å, c = 7.751 Å
α = 90.00°, β = 99.61°, γ = 90.00°
Space group Pm (No. 6)
Inequivalent atoms, fractional coordinates:
La 0.000 0.000 0.000
Cd 0.170 0.000 0.600
Cd 0.587 0.500 0.341
Fe 0.727 0.500 0.795

=====

10.
DFT (PBE) results for a geometry-optimized Er6GaTe2Se3 structure.

As for the uncorrected formation energy: -1.395 eV/atom.

a = 7.284 Å, b = 12.535 Å, c = 7.144 Å
α = 90.00°, β = 109.75°, γ = 90.00°
Space group C2/m (No. 12)
Inequivalent atoms, fractional coordinates:
Er 0.218 0.000 0.238
Er 0.238 0.154 0.757
Ga 0.000 0.000 0.500
Te 0.000 0.335 0.500
Se 0.000 0.177 0.000
Se 0.000 0.500 0.000

=====

11.
DFT (PBE) results for a geometry-optimized PmHo2Ga2 structure.

The value obtained for the formation energy is -1.9 eV per formula unit.

a = 12.513 Å, b = 3.768 Å, c = 5.825 Å
α = 90.00°, β = 102.73°, γ = 90.00°
Space group C2/m (No. 12)
Inequivalent atoms, fractional coordinates:
Pm 0.000 0.000 0.000
Ho 0.138 0.500 0.570
Ga 0.207 0.500 0.113

=====

12.
DFT (PBE) results for a geometry-optimized Tb3NdTl3 structure.

The value obtained for the formation energy is -1.8 eV per formula unit.

a = 9.5453 Å, b = 9.5453 Å, c = 5.2459 Å
α = 90.00°, β = 90.00°, γ = 120.00°
Space group P6_3/m (No. 176)
Inequivalent atoms, fractional coordinates:
Tb 0.0012 0.7667 0.2500
Nd 0.3333 0.6667 0.7500
Tl 0.0697 0.4479 0.2500

=====

no.,magnetization (Bohr magnetons per cell)
1,0.000
2,0.006
3,0.000
4,0.000
5,35.941
6,1.816
7,0.008
8,0.000
9,0.001
10,0.000
11,0.001
12,0.000